VASP calculation (PBE) on an optimized crystal structure of MgV3Br.

Output
N(E_F): 14.0 states/eV per cell
Formation energy (no corrections): 1.7535 eV per atom
Polymorph energy (0 for the lowest one): 822 meV/atom
Energy: -4.37 eV per atom
Space group: Pm-3m

Cell lengths 5.0705, 5.0705, 5.0705 Å; angles 90.00, 90.00, 90.00 degrees
Closest atoms and distances in Å follow each position.
Positions (direct):
Mg: 0.0000 0.0000 0.0000  6 V 2.54
V: 0.0000 0.0000 0.5000  2 Mg 2.54
V: 0.0000 0.5000 0.0000  2 Mg 2.54
V: 0.5000 0.0000 0.0000  2 Mg 2.54
Br: 0.5000 0.5000 0.5000  12 V 3.59